Arrangement i

Computed, not measured: a relaxed structure of SbMoAu at the PBE level of DFT.

Cell lengths 4.5434, 4.5434, 4.5434 Å; angles 60.00, 60.00, 60.00 degrees
Closest atoms and distances in Å follow each position.
Positions (direct):
Au 0.5000 0.5000 0.5000  4 Mo 2.78
Mo 0.2500 0.2500 0.2500  4 Au 2.78, 4 Sb 2.78
Sb 0.0000 0.0000 0.0000  4 Mo 2.78

## Properties
For the volume, the calculation gives 66.3 Å³/cell. Its density of states at the Fermi level is 2.08 states/eV/f.u.



Arrangement ii

Computed, not measured: a relaxed structure of SbMoAu at the PBE level of DFT.

Cell lengths 7.5506, 7.5506, 7.5506 Å; angles 157.16, 157.16, 32.52 degrees
Closest atoms and distances in Å follow each position.
Positions (direct):
Au 0.9652 0.9652 0.0000  4 Mo 2.80, 4 Au 2.99
Mo 0.3381 0.3381 0.0000  4 Au 2.80, 4 Sb 2.95, 4 Mo 2.99
Sb 0.6966 0.6966 0.0000  4 Mo 2.95, 4 Sb 2.99

## Properties
For the volume, the calculation gives 64.8 Å³/cell. Its density of states at the Fermi level is 1.89 states/eV/f.u.



Most stable to least stable, the ends of the list are arrangement i and arrangement ii.



Arrangement i

Computed, not measured: a relaxed structure of Sb3MoAu at the PBE level of DFT.

Cell lengths 5.3437, 5.3437, 5.3437 Å; angles 90.00, 90.00, 90.00 degrees
Closest atoms and distances in Å follow each position.
Positions (direct):
Sb 0.0000 0.5000 0.0000  2 Au 2.67
Sb 0.0000 0.0000 0.5000  2 Au 2.67
Sb 0.5000 0.0000 0.0000  2 Au 2.67
Mo 0.5000 0.5000 0.5000  12 Sb 3.78
Au 0.0000 0.0000 0.0000  6 Sb 2.67

## Properties
For the volume, the calculation gives 152.6 Å³/cell. Its density of states at the Fermi level is 3.54 states/eV/f.u.



Arrangement ii

Computed, not measured: a relaxed structure of Sb3MoAu at the PBE level of DFT.

Cell lengths 5.1995, 5.1995, 5.1995 Å; angles 90.00, 90.00, 90.00 degrees
Closest atoms and distances in Å follow each position.
Positions (direct):
Sb 0.0000 0.5000 0.0000  2 Mo 2.60
Sb 0.0000 0.0000 0.5000  2 Mo 2.60
Sb 0.5000 0.0000 0.0000  2 Mo 2.60
Mo 0.0000 0.0000 0.0000  6 Sb 2.60
Au 0.5000 0.5000 0.5000  12 Sb 3.68

## Properties
For the volume, the calculation gives 140.6 Å³/cell. Its density of states at the Fermi level is 4.35 states/eV/f.u.



Most stable to least stable, the ends of the list are arrangement ii and arrangement i.